# BaSr2MnO5 | Alexandria via LeMat-Bulk | PBE with a Hubbard U | optimized geometry
# Total DFT energy (no corrections) (eV/atom): -6.478
data_BaSr2MnO5
_chemical_formula_sum 'Ba4 Sr8 Mn4 O20'
_space_group_name_H-M_alt 'I 4/m c m'
_space_group_IT_number 140
_space_group_name_Hall '-I 4 2c'
_cell_length_a 7.0226
_cell_length_b 7.0226
_cell_length_c 11.6781
_cell_angle_alpha 90.00
_cell_angle_beta 90.00
_cell_angle_gamma 90.00
loop_
_atom_site_label
_atom_site_type_symbol
_atom_site_fract_x
_atom_site_fract_y
_atom_site_fract_z
Ba1 Ba 0.0000 0.0000 0.2500
Sr1 Sr 0.1790 0.3210 0.0000
Mn1 Mn 0.0000 0.5000 0.2500
O1 O 0.0000 0.0000 0.0000
O2 O 0.1332 0.3668 0.3548